Material: PrNi5Ge3
Method: DFT, PBE
State: optimized geometry

The structure in CIF format:
```
data_PrNi5Ge3
_chemical_formula_sum 'Pr2 Ni10 Ge6'
_symmetry_space_group_name_H-M 'P 1'
_symmetry_Int_Tables_number 1
_cell_length_a 3.787
_cell_length_b 6.344
_cell_length_c 11.862
_cell_angle_alpha 90.00
_cell_angle_beta 90.00
_cell_angle_gamma 107.36
loop_
_symmetry_equiv_pos_as_xyz
'x,y,z'
loop_
_atom_site_label
_atom_site_type_symbol
_atom_site_fract_x
_atom_site_fract_y
_atom_site_fract_z
_atom_site_occupancy
Ge1 Ge 0.619 0.239 0.043 1
Ge2 Ge 0.381 0.761 0.543 1
Pr1 Pr 0.163 0.325 0.250 1
Ge3 Ge 0.381 0.761 0.957 1
Pr2 Pr 0.837 0.675 0.750 1
Ni1 Ni 0.449 0.897 0.144 1
Ge4 Ge 0.112 0.223 0.750 1
Ni2 Ni 0.193 0.387 0.566 1
Ge5 Ge 0.619 0.239 0.457 1
Ni3 Ni 0.449 0.897 0.356 1
Ni4 Ni 0.807 0.613 0.066 1
Ni5 Ni 0.000 0.000 0.500 1
Ge6 Ge 0.888 0.777 0.250 1
Ni6 Ni 0.000 0.000 0.000 1
Ni7 Ni 0.551 0.103 0.644 1
Ni8 Ni 0.551 0.103 0.856 1
Ni9 Ni 0.807 0.613 0.434 1
Ni10 Ni 0.193 0.387 0.934 1
```

Properties
The value obtained for the calculated density is 7.97 g/cm³. As for the space group: No. 63. The calculation puts the formation energy from the elements at -48 kJ/mol of atoms. The crystal system is orthorhombic.

=====

Material: CeNdSi2
Method: DFT, PBE
State: optimized geometry

The structure in CIF format:
```
data_CeNdSi2
_chemical_formula_sum 'Ce1 Nd1 Si2'
_symmetry_space_group_name_H-M 'P 1'
_symmetry_Int_Tables_number 1
_cell_length_a 4.250
_cell_length_b 4.250
_cell_length_c 7.263
_cell_angle_alpha 72.99
_cell_angle_beta 72.99
_cell_angle_gamma 60.00
loop_
_symmetry_equiv_pos_as_xyz
'x,y,z'
loop_
_atom_site_label
_atom_site_type_symbol
_atom_site_fract_x
_atom_site_fract_y
_atom_site_fract_z
_atom_site_occupancy
Ce1 Ce 0.000 0.000 0.000 1
Si1 Si 0.745 0.745 0.764 1
Nd1 Nd 0.500 0.500 0.500 1
Si2 Si 0.255 0.255 0.236 1
```

Properties
The value obtained for the calculated density is 5.29 g/cm³. For the excess energy over the best structure of this formula in the dataset, the calculation gives 261 meV per atom. As for the space group: No. 166. The crystal system is trigonal.

=====

Material: ThAl3CuAu
Method: DFT, PBE
State: optimized geometry

The structure in CIF format:
```
data_ThAl3CuAu
_chemical_formula_sum 'Th2 Al6 Cu2 Au2'
_symmetry_space_group_name_H-M 'P 1'
_symmetry_Int_Tables_number 1
_cell_length_a 5.986
_cell_length_b 6.251
_cell_length_c 6.983
_cell_angle_alpha 116.59
_cell_angle_beta 90.00
_cell_angle_gamma 90.00
loop_
_symmetry_equiv_pos_as_xyz
'x,y,z'
loop_
_atom_site_label
_atom_site_type_symbol
_atom_site_fract_x
_atom_site_fract_y
_atom_site_fract_z
_atom_site_occupancy
Au1 Au 0.250 0.347 0.693 1
Cu1 Cu 0.250 0.934 0.868 1
Al1 Al 0.500 0.711 0.000 1
Al2 Al 0.250 0.137 0.273 1
Th1 Th 0.250 0.715 0.430 1
Al3 Al 0.000 0.289 0.000 1
Cu2 Cu 0.750 0.066 0.132 1
Al4 Al 0.500 0.289 0.000 1
Au2 Au 0.750 0.653 0.307 1
Al5 Al 0.750 0.863 0.727 1
Al6 Al 0.000 0.711 0.000 1
Th2 Th 0.750 0.285 0.570 1
```

Properties
The value obtained for the calculated density is 8.15 g/cm³. As for the space group: No. 63. The calculation puts the formation energy from the elements at -23 kJ/mol of atoms. The crystal system is orthorhombic.

=====

Material: MgBeAg2
Method: DFT, PBE
State: optimized geometry

The structure in CIF format:
```
data_MgBeAg2
_chemical_formula_sum 'Mg1 Be1 Ag2'
_symmetry_space_group_name_H-M 'P 1'
_symmetry_Int_Tables_number 1
_cell_length_a 4.388
_cell_length_b 4.388
_cell_length_c 3.245
_cell_angle_alpha 90.00
_cell_angle_beta 90.00
_cell_angle_gamma 90.00
loop_
_symmetry_equiv_pos_as_xyz
'x,y,z'
loop_
_atom_site_label
_atom_site_type_symbol
_atom_site_fract_x
_atom_site_fract_y
_atom_site_fract_z
_atom_site_occupancy
Mg1 Mg 0.000 0.500 0.500 1
Ag1 Ag 0.500 0.500 0.000 1
Ag2 Ag 0.000 0.000 0.000 1
Be1 Be 0.500 0.000 0.500 1
```

Properties
The value obtained for the calculated density is 6.62 g/cm³. For the excess energy over the best structure of this formula in the dataset, the calculation gives 75 meV per atom. As for the space group: No. 123. The calculation puts the formation energy from the elements at 6 kJ/mol of atoms. The crystal system is tetragonal.

=====

Material: KPu2Te4Pb
Method: DFT, PBE
State: optimized geometry

The structure in CIF format:
```
data_KPu2Te4Pb
_chemical_formula_sum 'K2 Pu4 Te8 Pb2'
_symmetry_space_group_name_H-M 'P 1'
_symmetry_Int_Tables_number 1
_cell_length_a 4.603
_cell_length_b 8.071
_cell_length_c 16.760
_cell_angle_alpha 90.00
_cell_angle_beta 90.00
_cell_angle_gamma 106.57
loop_
_symmetry_equiv_pos_as_xyz
'x,y,z'
loop_
_atom_site_label
_atom_site_type_symbol
_atom_site_fract_x
_atom_site_fract_y
_atom_site_fract_z
_atom_site_occupancy
Te1 Te 0.472 0.943 0.750 1
Te2 Te 0.528 0.057 0.250 1
Pb1 Pb 0.155 0.311 0.250 1
Pu1 Pu 0.626 0.252 0.062 1
Te3 Te 0.266 0.532 0.404 1
Te4 Te 0.734 0.468 0.904 1
K1 K 0.863 0.726 0.250 1
Te5 Te 0.266 0.532 0.096 1
Te6 Te 0.734 0.468 0.596 1
Pu2 Pu 0.626 0.252 0.438 1
Te7 Te 0.000 0.000 0.000 1
K2 K 0.137 0.274 0.750 1
Pb2 Pb 0.845 0.689 0.750 1
Pu3 Pu 0.374 0.748 0.938 1
Pu4 Pu 0.374 0.748 0.562 1
Te8 Te 0.000 0.000 0.500 1
```

Properties
The value obtained for the calculated density is 6.93 g/cm³. As for the space group: No. 63. For the total energy, the calculation gives -104.633 eV for the cell shown. The crystal system is orthorhombic.